Density functional theory data (GGA-PBE) for a relaxed KZnTe2Rh crystal.

## Properties
M_tot   1.4 Bohr magnetons per cell
E_form (uncorrected)   3.2 eV per formula unit
Space group   No. 123

abc: 5.3277 5.3277 5.3555
angles: 90.00 90.00 90.00
Closest atoms and distances in Å follow each position.
Positions (direct):
1 K 0.0000 0.0000 0.0000  2 Zn 2.68
2 Zn 0.0000 0.0000 0.5000  4 Te 2.66, 2 K 2.68
3 Te 0.0000 0.5000 0.5000  2 Zn 2.66
4 Te 0.5000 0.0000 0.5000  2 Zn 2.66
5 Rh 0.5000 0.5000 0.0000  4 K 3.77, 8 Te 3.78

Density functional theory data (GGA-PBE) for a relaxed K2TiRh4 crystal.

## Properties
M_tot   2.5 Bohr magnetons per cell
Formation energy   0.642 eV/atom
Space group   No. 139

abc: 4.7313 4.7313 15.9852
angles: 90.00 90.00 90.00
Closest atoms and distances in Å follow each position.
Positions (direct):
1 K 0.0000 0.0000 0.1525  9 Rh 3.33-3.40
2 K 0.0000 0.0000 0.8475  9 Rh 3.33-3.40
3 K 0.5000 0.5000 0.3475  9 Rh 3.33-3.40
4 K 0.5000 0.5000 0.6525  9 Rh 3.33-3.40
5 Ti 0.0000 0.0000 0.5000  6 Rh 2.22-2.37
6 Ti 0.5000 0.5000 0.0000  6 Rh 2.22-2.37
7 Rh 0.0000 0.0000 0.3611  1 Ti 2.22
8 Rh 0.0000 0.0000 0.6389  1 Ti 2.22
9 Rh 0.0000 0.5000 0.0000  2 Ti 2.37
10 Rh 0.0000 0.5000 0.5000  2 Ti 2.37
11 Rh 0.5000 0.0000 0.0000  2 Ti 2.37
12 Rh 0.5000 0.0000 0.5000  2 Ti 2.37
13 Rh 0.5000 0.5000 0.1389  1 Ti 2.22
14 Rh 0.5000 0.5000 0.8611  1 Ti 2.22

Density functional theory data (GGA-PBE) for a relaxed KTiRh2 crystal.

## Properties
M_tot   0.0 Bohr magnetons per cell
Formation energy   0.392 eV/atom
Polymorph energy (0 for the lowest one)   0 meV per atom
Space group   No. 225

abc: 6.5345 6.5345 6.5345
angles: 90.00 90.00 90.00
Closest atoms and distances in Å follow each position.
Positions (direct):
1 K 0.0000 0.0000 0.0000  8 Rh 2.83
2 K 0.0000 0.5000 0.5000  8 Rh 2.83
3 K 0.5000 0.0000 0.5000  8 Rh 2.83
4 K 0.5000 0.5000 0.0000  8 Rh 2.83
5 Ti 0.0000 0.0000 0.5000  8 Rh 2.83
6 Ti 0.0000 0.5000 0.0000  8 Rh 2.83
7 Ti 0.5000 0.0000 0.0000  8 Rh 2.83
8 Ti 0.5000 0.5000 0.5000  8 Rh 2.83
9 Rh 0.2500 0.2500 0.2500  4 K 2.83, 4 Ti 2.83
10 Rh 0.2500 0.2500 0.7500  4 K 2.83, 4 Ti 2.83
11 Rh 0.2500 0.7500 0.2500  4 K 2.83, 4 Ti 2.83
12 Rh 0.2500 0.7500 0.7500  4 K 2.83, 4 Ti 2.83
13 Rh 0.7500 0.2500 0.2500  4 K 2.83, 4 Ti 2.83
14 Rh 0.7500 0.2500 0.7500  4 K 2.83, 4 Ti 2.83
15 Rh 0.7500 0.7500 0.2500  4 K 2.83, 4 Ti 2.83
16 Rh 0.7500 0.7500 0.7500  4 K 2.83, 4 Ti 2.83

Density functional theory data (GGA-PBE) for a relaxed K2TiRh crystal.

## Properties
M_tot   10.7 Bohr magnetons per cell
Formation energy   1.341 eV/atom
Polymorph energy (0 for the lowest one)   701 meV per atom
Space group   No. 225

abc: 7.6846 7.6846 7.6846
angles: 90.00 90.00 90.00
Closest atoms and distances in Å follow each position.
Positions (direct):
1 K 0.2500 0.2500 0.2500  4 Rh 3.33, 4 Ti 3.33
2 K 0.2500 0.2500 0.7500  4 Rh 3.33, 4 Ti 3.33
3 K 0.2500 0.7500 0.2500  4 Rh 3.33, 4 Ti 3.33
4 K 0.2500 0.7500 0.7500  4 Rh 3.33, 4 Ti 3.33
5 K 0.7500 0.2500 0.2500  4 Rh 3.33, 4 Ti 3.33
6 K 0.7500 0.2500 0.7500  4 Rh 3.33, 4 Ti 3.33
7 K 0.7500 0.7500 0.2500  4 Rh 3.33, 4 Ti 3.33
8 K 0.7500 0.7500 0.7500  4 Rh 3.33, 4 Ti 3.33
9 Ti 0.0000 0.0000 0.0000  8 K 3.33
10 Ti 0.0000 0.5000 0.5000  8 K 3.33
11 Ti 0.5000 0.0000 0.5000  8 K 3.33
12 Ti 0.5000 0.5000 0.0000  8 K 3.33
13 Rh 0.0000 0.0000 0.5000  8 K 3.33
14 Rh 0.0000 0.5000 0.0000  8 K 3.33
15 Rh 0.5000 0.0000 0.0000  8 K 3.33
16 Rh 0.5000 0.5000 0.5000  8 K 3.33

Density functional theory data (GGA-PBE) for a relaxed KTiRh2 crystal.

## Properties
M_tot   0.0 Bohr magnetons per cell
Formation energy   0.500 eV/atom
Polymorph energy (0 for the lowest one)   107 meV per atom
Space group   No. 122

abc: 5.3454 5.3454 15.1736
angles: 90.00 90.00 90.00
Closest atoms and distances in Å follow each position.
Positions (direct):
1 K 0.0000 0.0000 0.0000  4 Rh 3.32
2 K 0.0000 0.5000 0.2500  4 Rh 3.32
3 K 0.5000 0.0000 0.7500  4 Rh 3.32
4 K 0.5000 0.5000 0.5000  4 Rh 3.32
5 Ti 0.0000 0.0000 0.5000  4 Rh 2.34
6 Ti 0.0000 0.5000 0.7500  4 Rh 2.34
7 Ti 0.5000 0.0000 0.2500  4 Rh 2.34
8 Ti 0.5000 0.5000 0.0000  4 Rh 2.34
9 Rh 0.0555 0.2500 0.6250  2 Ti 2.34
10 Rh 0.2500 0.5555 0.8750  2 Ti 2.34
11 Rh 0.2500 0.9445 0.3750  2 Ti 2.34
12 Rh 0.4445 0.2500 0.1250  2 Ti 2.34
13 Rh 0.5555 0.7500 0.1250  2 Ti 2.34
14 Rh 0.7500 0.0555 0.3750  2 Ti 2.34
15 Rh 0.7500 0.4445 0.8750  2 Ti 2.34
16 Rh 0.9445 0.7500 0.6250  2 Ti 2.34

Density functional theory data (GGA-PBE) for a relaxed K2TiRh crystal.

## Properties
M_tot   0.0 Bohr magnetons per cell
Formation energy   0.640 eV/atom
Polymorph energy (0 for the lowest one)   0 meV per atom
Space group   No. 122

abc: 12.5809 12.5809 4.5026
angles: 90.00 90.00 90.00
Closest atoms and distances in Å follow each position.
Positions (direct):
1 K 0.0859 0.2500 0.1250  2 Rh 3.37, 2 Ti 3.73
2 K 0.2500 0.5859 0.3750  2 Rh 3.37, 2 Ti 3.73
3 K 0.2500 0.9141 0.8750  2 Rh 3.37, 2 Ti 3.73
4 K 0.4141 0.2500 0.6250  2 Rh 3.37, 2 Ti 3.73
5 K 0.5859 0.7500 0.6250  2 Rh 3.37, 2 Ti 3.73
6 K 0.7500 0.0859 0.8750  2 Rh 3.37, 2 Ti 3.73
7 K 0.7500 0.4141 0.3750  2 Rh 3.37, 2 Ti 3.73
8 K 0.9141 0.7500 0.1250  2 Rh 3.37, 2 Ti 3.73
9 Ti 0.0000 0.0000 0.5000  2 Rh 2.25
10 Ti 0.0000 0.5000 0.7500  2 Rh 2.25
11 Ti 0.5000 0.0000 0.2500  2 Rh 2.25
12 Ti 0.5000 0.5000 0.0000  2 Rh 2.25
13 Rh 0.0000 0.0000 0.0000  2 Ti 2.25
14 Rh 0.0000 0.5000 0.2500  2 Ti 2.25
15 Rh 0.5000 0.0000 0.7500  2 Ti 2.25
16 Rh 0.5000 0.5000 0.5000  2 Ti 2.25

Density functional theory data (GGA-PBE) for a relaxed K3TiRh crystal.

## Properties
M_tot   2.0 Bohr magnetons per cell
Formation energy   1.216 eV/atom
Space group   No. 221

abc: 6.0372 6.0372 6.0372
angles: 90.00 90.00 90.00
Closest atoms and distances in Å follow each position.
Positions (direct):
1 K 0.0000 0.0000 0.5000  2 Rh 3.02
2 K 0.0000 0.5000 0.0000  2 Rh 3.02
3 K 0.5000 0.0000 0.0000  2 Rh 3.02
4 Ti 0.5000 0.5000 0.5000  12 K 4.27
5 Rh 0.0000 0.0000 0.0000  6 K 3.02

Density functional theory data (GGA-PBE) for a relaxed KTiRh2W crystal.

## Properties
M_tot   3.2 Bohr magnetons per cell
Formation energy   1.635 eV/atom
Space group   No. 123

abc: 4.5910 4.5910 4.8826
angles: 90.00 90.00 90.00
Closest atoms and distances in Å follow each position.
Positions (direct):
1 K 0.0000 0.0000 0.0000  2 Ti 2.44
2 Ti 0.0000 0.0000 0.5000  4 Rh 2.30, 2 K 2.44
3 Rh 0.0000 0.5000 0.5000  2 Ti 2.30
4 Rh 0.5000 0.0000 0.5000  2 Ti 2.30
5 W 0.5000 0.5000 0.0000  4 K 3.25, 8 Rh 3.35

Density functional theory data (GGA-PBE) for a relaxed KYTi2Rh crystal.

## Properties
M_tot   2.1 Bohr magnetons per cell
Formation energy   0.651 eV/atom
Space group   No. 123

abc: 4.8241 4.8241 5.7007
angles: 90.00 90.00 90.00
Closest atoms and distances in Å follow each position.
Positions (direct):
1 K 0.0000 0.0000 0.0000  2 Rh 2.85
2 Y 0.5000 0.5000 0.0000  4 K 3.41, 8 Ti 3.73
3 Ti 0.0000 0.5000 0.5000  2 Rh 2.41
4 Ti 0.5000 0.0000 0.5000  2 Rh 2.41
5 Rh 0.0000 0.0000 0.5000  4 Ti 2.41

Density functional theory data (GGA-PBE) for a relaxed KTlRh crystal.

## Properties
M_tot   0.0 Bohr magnetons per cell
Formation energy   0.379 eV/atom
Space group   No. 156

abc: 3.4486 3.4486 7.5069
angles: 90.00 90.00 120.00
Closest atoms and distances in Å follow each position.
Positions (direct):
1 K 0.0000 0.0000 0.0000  3 Rh 3.19, 6 K 3.45
2 Tl 0.6667 0.3333 0.5892  3 Rh 2.77
3 Rh 0.3333 0.6667 0.3326  3 Tl 2.77

Density functional theory data (GGA-PBE) for a relaxed KTlRh2 crystal.

## Properties
M_tot   0.0 Bohr magnetons per cell
Formation energy   0.415 eV/atom
Polymorph energy (0 for the lowest one)   167 meV per atom
Space group   No. 12

abc: 9.4870 3.1211 6.5078
angles: 90.00 100.56 90.00
Closest atoms and distances in Å follow each position.
Positions (direct):
1 K 0.0000 0.0000 0.0000  2 K 3.12, 6 Rh 3.42-3.43
2 K 0.5000 0.5000 0.0000  2 K 3.12, 6 Rh 3.42-3.43
3 Tl 0.0000 0.5000 0.5000  6 Rh 2.75-2.89
4 Tl 0.5000 0.0000 0.5000  6 Rh 2.75-2.89
5 Rh 0.2337 0.0000 0.6570  2 Rh 2.63, 3 Tl 2.75-2.89
6 Rh 0.2663 0.5000 0.3430  2 Rh 2.63, 3 Tl 2.75-2.89
7 Rh 0.7337 0.5000 0.6570  2 Rh 2.63, 3 Tl 2.75-2.89
8 Rh 0.7663 0.0000 0.3430  2 Rh 2.63, 3 Tl 2.75-2.89

Density functional theory data (GGA-PBE) for a relaxed K2TlRh crystal.

## Properties
M_tot   0.6 Bohr magnetons per cell
Formation energy   0.493 eV/atom
Polymorph energy (0 for the lowest one)   403 meV per atom
Space group   No. 123

abc: 3.2564 3.2564 11.1125
angles: 90.00 90.00 90.00
Closest atoms and distances in Å follow each position.
Positions (direct):
1 K 0.0000 0.0000 0.2067  4 Rh 3.25, 4 K 3.26
2 K 0.0000 0.0000 0.7933  4 Rh 3.25, 4 K 3.26
3 Tl 0.5000 0.5000 0.5000  4 Tl 3.26
4 Rh 0.5000 0.5000 0.0000  8 K 3.25, 4 Rh 3.26

Question: What is the M_tot in the fourth record?
Answer: 10.7 Bohr magnetons per cell

Question: M_tot of number 9 (KYTi2Rh)?
Answer: 2.1 Bohr magnetons per cell